Entry from the Alexandria database: a relaxed structure of Na3Ga3IrO8 (PBE).

Summary:
**Raw total energy**: -5.69 eV per atom
**Space group**: R-3m
**Crystal system**: trigonal
**M_tot**: 1.04 μB/f.u.
**Raw formation energy**: -1588 meV per atom

a b c (Å): 6.485 6.485 6.485
angles (deg): 56.05 56.05 56.05
Positions (direct):
Na1 0.000 0.500 0.500
Na2 0.500 0.000 0.500
Na3 0.500 0.500 0.000
Ga1 0.000 0.000 0.500
Ga2 0.000 0.500 0.000
Ga3 0.500 0.000 0.000
Ir1 0.500 0.500 0.500
O1 0.231 0.729 0.729
O2 0.233 0.233 0.233
O3 0.271 0.271 0.769
O4 0.271 0.769 0.271
O5 0.729 0.231 0.729
O6 0.729 0.729 0.231
O7 0.767 0.767 0.767
O8 0.769 0.271 0.271


Entry from the Alexandria database: a relaxed structure of Na2GaIrOs (PBE).

Summary:
**Raw total energy**: -3.62 eV per atom
**Space group**: P4/mmm
**Crystal system**: tetragonal
**M_tot**: 3.39 μB/f.u.

a b c (Å): 5.298 5.298 4.692
angles (deg): 90.00 90.00 90.00
Positions (direct):
Na1 0.000 0.500 0.000
Na2 0.500 0.000 0.000
Ga1 0.000 0.000 0.500
Ir1 0.000 0.000 0.000
Os1 0.500 0.500 0.500


Entry from the Alexandria database: a relaxed structure of NaGa4IrPt2 (PBE).

Summary:
**Raw total energy**: -4.70 eV per atom
**Space group**: R-3m
**Crystal system**: trigonal
**M_tot**: 0.00 μB/f.u.

a b c (Å): 9.490 9.490 9.490
angles (deg): 25.89 25.89 25.89
Positions (direct):
Na1 0.000 0.000 0.000
Ga1 0.133 0.133 0.133
Ga2 0.402 0.402 0.402
Ga3 0.598 0.598 0.598
Ga4 0.867 0.867 0.867
Ir1 0.500 0.500 0.500
Pt1 0.238 0.238 0.238
Pt2 0.762 0.762 0.762


Entry from the Alexandria database: a relaxed structure of Na2Ga4IrPt3 (PBE).

Summary:
**Raw total energy**: -4.69 eV per atom
**Space group**: P-4m2
**Crystal system**: tetragonal
**M_tot**: 0.00 μB/f.u.

a b c (Å): 4.205 4.205 10.580
angles (deg): 90.00 90.00 90.00
Positions (direct):
Na1 0.000 0.500 0.239
Na2 0.500 0.000 0.761
Ga1 0.000 0.000 0.500
Ga2 0.000 0.500 0.869
Ga3 0.500 0.000 0.131
Ga4 0.500 0.500 0.500
Ir1 0.500 0.500 0.000
Pt1 0.000 0.000 0.000
Pt2 0.000 0.500 0.634
Pt3 0.500 0.000 0.366


Entry from the Alexandria database: a relaxed structure of NaGa2IrPt (PBE).

Summary:
**Raw total energy**: -4.12 eV per atom
**Space group**: P4/mmm
**Crystal system**: tetragonal
**M_tot**: 1.46 μB/f.u.

a b c (Å): 4.759 4.759 5.172
angles (deg): 90.00 90.00 90.00
Positions (direct):
Na1 0.000 0.000 0.000
Ga1 0.000 0.500 0.500
Ga2 0.500 0.000 0.500
Ir1 0.500 0.500 0.000
Pt1 0.500 0.500 0.500


Entry from the Alexandria database: a relaxed structure of RbNaGa2Ir (PBE).

Summary:
**Raw total energy**: -3.65 eV per atom
**Space group**: P4/mmm
**Crystal system**: tetragonal
**M_tot**: 0.00 μB/f.u.

a b c (Å): 4.858 4.858 5.671
angles (deg): 90.00 90.00 90.00
Positions (direct):
Rb1 0.000 0.000 0.000
Na1 0.500 0.500 0.000
Ga1 0.000 0.500 0.500
Ga2 0.500 0.000 0.500
Ir1 0.500 0.500 0.500


Entry from the Alexandria database: a relaxed structure of NaGaReIr2 (PBE).

Summary:
**Raw total energy**: -5.44 eV per atom
**Space group**: P4/mmm
**Crystal system**: tetragonal
**M_tot**: 3.68 μB/f.u.

a b c (Å): 4.567 4.567 4.480
angles (deg): 90.00 90.00 90.00
Positions (direct):
Na1 0.000 0.000 0.000
Ga1 0.000 0.000 0.500
Re1 0.500 0.500 0.000
Ir1 0.000 0.500 0.500
Ir2 0.500 0.000 0.500


Entry from the Alexandria database: a relaxed structure of Na4GaIr3S8 (PBE).

Summary:
**Raw total energy**: -4.98 eV per atom
**Space group**: R-3m
**Crystal system**: trigonal
**M_tot**: 0.00 μB/f.u.
**Raw formation energy**: -732 meV per atom

a b c (Å): 7.618 7.618 7.618
angles (deg): 57.51 57.51 57.51
Positions (direct):
Na1 0.000 0.000 0.000
Na2 0.000 0.500 0.500
Na3 0.500 0.000 0.500
Na4 0.500 0.500 0.000
Ga1 0.500 0.500 0.500
Ir1 0.000 0.000 0.500
Ir2 0.000 0.500 0.000
Ir3 0.500 0.000 0.000
S1 0.220 0.736 0.736
S2 0.228 0.228 0.228
S3 0.264 0.264 0.780
S4 0.264 0.780 0.264
S5 0.736 0.220 0.736
S6 0.736 0.736 0.220
S7 0.772 0.772 0.772
S8 0.780 0.264 0.264


Entry from the Alexandria database: a relaxed structure of NaSr2GaIr (PBE).

Summary:
**Raw total energy**: -3.53 eV per atom
**Space group**: P4/mmm
**Crystal system**: tetragonal
**M_tot**: 0.00 μB/f.u.

a b c (Å): 5.913 5.913 4.875
angles (deg): 90.00 90.00 90.00
Positions (direct):
Na1 0.000 0.000 0.000
Sr1 0.000 0.500 0.500
Sr2 0.500 0.000 0.500
Ga1 0.500 0.500 0.000
Ir1 0.500 0.500 0.500


Entry from the Alexandria database: a relaxed structure of NaTlGa2Ir (PBE).

Summary:
**Raw total energy**: -3.83 eV per atom
**Space group**: P4/mmm
**Crystal system**: tetragonal
**M_tot**: 0.00 μB/f.u.

a b c (Å): 4.857 4.857 5.341
angles (deg): 90.00 90.00 90.00
Positions (direct):
Na1 0.000 0.000 0.000
Tl1 0.500 0.500 0.000
Ga1 0.000 0.500 0.500
Ga2 0.500 0.000 0.500
Ir1 0.500 0.500 0.500


Entry from the Alexandria database: a relaxed structure of NaZn2GaIr (PBE).

Summary:
**Raw total energy**: -3.34 eV per atom
**Space group**: P4/mmm
**Crystal system**: tetragonal
**M_tot**: 0.00 μB/f.u.

a b c (Å): 4.894 4.894 4.751
angles (deg): 90.00 90.00 90.00
Positions (direct):
Na1 0.000 0.000 0.000
Zn1 0.000 0.500 0.500
Zn2 0.500 0.000 0.500
Ga1 0.500 0.500 0.000
Ir1 0.500 0.500 0.500


Entry from the Alexandria database: a relaxed structure of Nb3GaIr4 (PBE).

Summary:
**Raw total energy**: -9.11 eV per atom
**Space group**: P4/mmm
**Crystal system**: tetragonal
**M_tot**: 0.00 μB/f.u.

a b c (Å): 2.898 2.898 14.958
angles (deg): 90.00 90.00 90.00
Positions (direct):
Nb1 0.000 0.000 0.000
Nb2 0.000 0.000 0.260
Nb3 0.000 0.000 0.740
Ga1 0.000 0.000 0.500
Ir1 0.500 0.500 0.129
Ir2 0.500 0.500 0.388
Ir3 0.500 0.500 0.612
Ir4 0.500 0.500 0.871